Computed, not measured: LaGaRuO6 after structural relaxation at the GGA-PBE level of DFT.

Unit cell a=4.948 b=4.948 c=9.949 alpha=90.00 beta=90.00 gamma=90.00
Space group P4_2nm (No. 102)
Symmetry-distinct sites (fractional):
La  0.000  0.000  0.000 [2 per cell]
Ga  0.000  0.000  0.369 [2 per cell]
Ru  0.000  0.000  0.680 [2 per cell]
O  0.174  0.174  0.533 [4 per cell]
O  0.233  0.233  0.840 [4 per cell]
O  0.250  0.250  0.216 [4 per cell]

Values from the calculation:
raw formation energy: -161.60 kJ per mole of atoms
uncorrected energy: -6.895 eV per atom
theoretical density: 5.532 g/cm³